[1]
The following is a GGA-PBE calculation of a relaxed Na8Ag2Sn crystal, from the Alexandria database.

Computed properties:
Formation enthalpy at 0 K   -26 meV per atom
Energy above the most stable polymorph in this dataset   0.021 eV per atom
DFT total energy   -0.069 hartree per atom
Mass density   2.60 Mg/m³

a = 5.5731 Å, b = 8.1775 Å, c = 8.1775 Å
α = 112.51°, β = 98.81°, γ = 98.81°
Positions (direct):
Na (0.9210, 0.9367, 0.6952)
Na (0.9210, 0.6952, 0.9367)
Na (0.3319, 0.6354, 0.6354)
Na (0.5000, 0.7656, 0.2344)
Na (0.5000, 0.2344, 0.7656)
Na (0.6681, 0.3646, 0.3646)
Na (0.0790, 0.3048, 0.0633)
Na (0.0790, 0.0633, 0.3048)
Ag (0.0000, 0.3235, 0.6765)
Ag (0.0000, 0.6765, 0.3235)
Sn (0.5000, 0.0000, 0.0000)

***

[2]
The following is a GGA-PBE calculation of a relaxed Na8Ag2Sn crystal, from the Alexandria database.

Computed properties:
Formation enthalpy at 0 K   -47 meV per atom
Energy above the most stable polymorph in this dataset   0.000 eV per atom
DFT total energy   -0.069 hartree per atom
Mass density   2.70 Mg/m³

a = 5.4621 Å, b = 7.0408 Å, c = 9.4249 Å
α = 111.96°, β = 106.84°, γ = 89.97°
Positions (direct):
Na (0.6354, 0.2419, 0.9107)
Na (0.9674, 0.0124, 0.5698)
Na (0.3070, 0.3494, 0.2484)
Na (0.7364, 0.9497, 0.1092)
Na (0.3295, 0.8610, 0.2937)
Na (0.9455, 0.4775, 0.5257)
Na (0.1332, 0.5070, 0.9086)
Na (0.5336, 0.7521, 0.7047)
Ag (0.8044, 0.6074, 0.2419)
Ag (0.4723, 0.2766, 0.5791)
Sn (0.1352, 0.9651, 0.9082)

***

[3]
The following is a GGA-PBE calculation of a relaxed Na2Ag3Sn crystal, from the Alexandria database.

Computed properties:
Formation enthalpy at 0 K   -140 meV per atom
Energy above the most stable polymorph in this dataset   0.000 eV per atom
DFT total energy   -0.098 hartree per atom
Mass density   5.95 Mg/m³

a = 5.8480 Å, b = 5.8480 Å, c = 5.7126 Å
α = 89.78°, β = 120.32°, γ = 120.70°
Positions (direct):
Na (0.7481, 0.3732, 0.1212)
Na (0.2519, 0.6268, 0.8788)
Ag (0.5000, 0.5000, 0.5000)
Ag (0.0000, 0.0000, 0.5000)
Ag (0.5000, 0.0000, 0.5000)
Sn (0.0000, 0.0000, 0.0000)

***

[4]
The following is a GGA-PBE calculation of a relaxed NaAg6Sn8 crystal, from the Alexandria database.

Computed properties:
Formation enthalpy at 0 K   61 meV per atom
DFT total energy   -0.121 hartree per atom
Mass density   7.44 Mg/m³

a = 7.1726 Å, b = 7.1726 Å, c = 7.1726 Å
α = 83.02°, β = 83.02°, γ = 83.02°
Positions (direct):
Na (0.0000, 0.0000, 0.0000)
Ag (0.5711, 0.4173, 0.7783)
Ag (0.4173, 0.7783, 0.5711)
Ag (0.7783, 0.5711, 0.4173)
Ag (0.4289, 0.5827, 0.2217)
Ag (0.5827, 0.2217, 0.4289)
Ag (0.2217, 0.4289, 0.5827)
Sn (0.7657, 0.7657, 0.7657)
Sn (0.2343, 0.2343, 0.2343)
Sn (0.5985, 0.9269, 0.1904)
Sn (0.9269, 0.1904, 0.5985)
Sn (0.1904, 0.5985, 0.9269)
Sn (0.4015, 0.0731, 0.8096)
Sn (0.0731, 0.8096, 0.4015)
Sn (0.8096, 0.4015, 0.0731)

***

[5]
The following is a GGA-PBE calculation of a relaxed Na12AgSn7 crystal, from the Alexandria database.

Computed properties:
Formation enthalpy at 0 K   -138 meV per atom
DFT total energy   -0.091 hartree per atom
Mass density   3.49 Mg/m³

a = 8.6446 Å, b = 8.6446 Å, c = 8.6446 Å
α = 103.81°, β = 103.81°, γ = 103.81°
Positions (direct):
Na (0.7718, 0.2738, 0.5452)
Na (0.7262, 0.4548, 0.2282)
Na (0.3842, 0.1014, 0.2734)
Na (0.8986, 0.7266, 0.6158)
Na (0.4548, 0.2282, 0.7262)
Na (0.7266, 0.6158, 0.8986)
Na (0.2734, 0.3842, 0.1014)
Na (0.5452, 0.7718, 0.2738)
Na (0.1014, 0.2734, 0.3842)
Na (0.6158, 0.8986, 0.7266)
Na (0.2738, 0.5452, 0.7718)
Na (0.2282, 0.7262, 0.4548)
Ag (0.0000, 0.0000, 0.0000)
Sn (0.1315, 0.7170, 0.0670)
Sn (0.2830, 0.9330, 0.8685)
Sn (0.9330, 0.8685, 0.2830)
Sn (0.5000, 0.5000, 0.5000)
Sn (0.0670, 0.1315, 0.7170)
Sn (0.7170, 0.0670, 0.1315)
Sn (0.8685, 0.2830, 0.9330)

***

[6]
The following is a GGA-PBE calculation of a relaxed Na3Ag4Sn7 crystal, from the Alexandria database.

Computed properties:
Formation enthalpy at 0 K   -85 meV per atom
DFT total energy   -0.117 hartree per atom
Mass density   6.19 Mg/m³

a = 4.5660 Å, b = 8.8972 Å, c = 9.8601 Å
α = 68.96°, β = 76.61°, γ = 75.13°
Positions (direct):
Na (0.3142, 0.1814, 0.1903)
Na (0.6858, 0.8186, 0.8097)
Na (0.0000, 0.5000, 0.5000)
Ag (0.6653, 0.4279, 0.2414)
Ag (0.3347, 0.5721, 0.7586)
Ag (0.8827, 0.9075, 0.3271)
Ag (0.1173, 0.0925, 0.6729)
Sn (0.3152, 0.8519, 0.5177)
Sn (0.4926, 0.2301, 0.7847)
Sn (0.8276, 0.4065, 0.9382)
Sn (0.6848, 0.1481, 0.4823)
Sn (0.1724, 0.5935, 0.0618)
Sn (0.0000, 0.0000, 0.0000)
Sn (0.5074, 0.7699, 0.2153)